This record from Alexandria via LeMat-Bulk describes a relaxed HgSb crystal. The functional is PBE.

Values from the calculation:
space-group type: P-3m1, No. 164
ΔE_f (raw): 0.047 eV/atom
total energy: -4.33 eV per formula unit
N(E_F): 0.134 states/eV per atom

Unit cell a=4.149 b=4.149 c=9.155 alpha=90.00 beta=90.00 gamma=120.00
Fractional positions:
Hg 0.333 0.667 0.122
Hg 0.667 0.333 0.878
Sb 0.333 0.667 0.591
Sb 0.667 0.333 0.409



This record from Alexandria via LeMat-Bulk describes a relaxed TiBi3S crystal. The functional is PBE.

Values from the calculation:
space-group type: Pm-3m, No. 221
ΔE_f (raw): 0.651 eV/atom
total energy: -20.41 eV per formula unit
N(E_F): 1.370 states/eV per atom

Unit cell a=5.320 b=5.320 c=5.320 alpha=90.00 beta=90.00 gamma=90.00
Fractional positions:
Ti 0.000 0.000 0.000
Bi 0.000 0.500 0.500
Bi 0.500 0.000 0.500
Bi 0.500 0.500 0.000
S 0.500 0.500 0.500



This record from Alexandria via LeMat-Bulk describes a relaxed Li2POs crystal. The functional is PBE.

Values from the calculation:
space-group type: R-3m, No. 166
total energy: -20.42 eV per formula unit
N(E_F): 0.502 states/eV per atom
calculated formation energy: 0.011 eV/atom

Unit cell a=8.798 b=8.798 c=8.798 alpha=17.47 beta=17.47 gamma=17.47
Fractional positions:
Li 0.245 0.245 0.245
Li 0.755 0.755 0.755
P 0.500 0.500 0.500
Os 0.000 0.000 0.000



This record from Alexandria via LeMat-Bulk describes a relaxed CrPd14Pb crystal. The functional is PBE.

Values from the calculation:
space-group type: P4/mmm, No. 123
total energy: -87.13 eV per formula unit
N(E_F): 1.821 states/eV per atom
calculated formation energy: -0.068 eV/atom

Unit cell a=5.670 b=5.670 c=7.840 alpha=90.00 beta=90.00 gamma=90.00
Fractional positions:
Cr 0.000 0.000 0.000
Pd 0.000 0.000 0.500
Pd 0.000 0.500 0.000
Pd 0.000 0.500 0.500
Pd 0.245 0.245 0.250
Pd 0.245 0.245 0.750
Pd 0.245 0.755 0.250
Pd 0.245 0.755 0.750
Pd 0.500 0.000 0.000
Pd 0.500 0.000 0.500
Pd 0.500 0.500 0.500
Pd 0.755 0.245 0.250
Pd 0.755 0.245 0.750
Pd 0.755 0.755 0.250
Pd 0.755 0.755 0.750
Pb 0.500 0.500 0.000



This record from Alexandria via LeMat-Bulk describes a relaxed InReHg2 crystal. The functional is PBE.

Values from the calculation:
space-group type: Pmm2, No. 25
total energy: -12.95 eV per formula unit
N(E_F): 0.613 states/eV per atom
calculated formation energy: 0.710 eV/atom

Unit cell a=2.961 b=4.417 c=6.150 alpha=90.00 beta=90.00 gamma=90.00
Fractional positions:
In 0.000 0.000 0.000
Re 0.500 0.500 0.191
Hg 0.000 0.000 0.460
Hg 0.500 0.500 0.704



This record from Alexandria via LeMat-Bulk describes a relaxed YZrPb2 crystal. The functional is PBE.

Values from the calculation:
space-group type: F-43m, No. 216
total energy: -21.71 eV per formula unit
N(E_F): 1.130 states/eV per atom
calculated formation energy: 0.179 eV/atom

Unit cell a=5.426 b=5.426 c=5.426 alpha=60.00 beta=60.00 gamma=60.00
Fractional positions:
Y 0.000 0.000 0.000
Zr 0.750 0.750 0.750
Pb 0.250 0.250 0.250
Pb 0.500 0.500 0.500



This record from Alexandria via LeMat-Bulk describes a relaxed Mg4NiOs crystal. The functional is PBE.

Values from the calculation:
space-group type: F-43m, No. 216
total energy: -19.45 eV per formula unit
N(E_F): 1.155 states/eV per atom
calculated formation energy: 0.656 eV/atom

Unit cell a=5.248 b=5.248 c=5.248 alpha=60.00 beta=60.00 gamma=60.00
Fractional positions:
Mg 0.125 0.125 0.125
Mg 0.125 0.125 0.624
Mg 0.125 0.624 0.125
Mg 0.624 0.125 0.125
Ni 0.750 0.750 0.750
Os 0.500 0.500 0.500



This record from Alexandria via LeMat-Bulk describes a relaxed Nd3Dy2In crystal. The functional is PBE.

Values from the calculation:
space-group type: Cmmm, No. 65
total energy: -27.17 eV per formula unit
N(E_F): 1.234 states/eV per atom
calculated formation energy: -0.155 eV/atom

Unit cell a=8.050 b=8.050 c=4.934 alpha=90.00 beta=90.00 gamma=143.85
Fractional positions:
Nd 0.000 0.000 0.000
Nd 0.332 0.668 0.000
Nd 0.668 0.332 0.000
Dy 0.162 0.838 0.500
Dy 0.838 0.162 0.500
In 0.500 0.500 0.500



This record from Alexandria via LeMat-Bulk describes a relaxed Tb3Pt2Rh crystal. The functional is PBE.

Values from the calculation:
space-group type: Cmmm, No. 65
total energy: -39.86 eV per formula unit
N(E_F): 0.368 states/eV per atom
calculated formation energy: -1.090 eV/atom

Unit cell a=7.818 b=7.818 c=6.938 alpha=90.00 beta=90.00 gamma=143.16
Fractional positions:
Tb 0.000 0.000 0.248
Tb 0.000 0.000 0.752
Tb 0.332 0.668 0.247
Tb 0.332 0.668 0.753
Tb 0.668 0.332 0.247
Tb 0.668 0.332 0.753
Pt 0.165 0.835 0.500
Pt 0.500 0.500 0.000
Pt 0.500 0.500 0.500
Pt 0.835 0.165 0.500
Rh 0.169 0.831 0.000
Rh 0.831 0.169 0.000



This record from Alexandria via LeMat-Bulk describes a relaxed CaGdInRu crystal. The functional is PBE.

Values from the calculation:
space-group type: F-43m, No. 216
total energy: -28.62 eV per formula unit
N(E_F): 0.875 states/eV per atom
calculated formation energy: -0.131 eV/atom

Unit cell a=5.103 b=5.103 c=5.103 alpha=60.00 beta=60.00 gamma=60.00
Fractional positions:
Ca 0.000 0.000 0.000
Gd 0.500 0.500 0.500
In 0.750 0.750 0.750
Ru 0.250 0.250 0.250



This record from Alexandria via LeMat-Bulk describes a relaxed La2CdW crystal. The functional is PBE.

Values from the calculation:
space-group type: R3m, No. 160
total energy: -21.14 eV per formula unit
N(E_F): 1.133 states/eV per atom
calculated formation energy: 0.645 eV/atom

Unit cell a=11.491 b=11.491 c=11.491 alpha=16.02 beta=16.02 gamma=16.02
Fractional positions:
La 0.000 0.000 0.000
La 0.230 0.230 0.230
Cd 0.479 0.479 0.479
W 0.743 0.743 0.743



This record from Alexandria via LeMat-Bulk describes a relaxed BeSiCl3 crystal. The functional is PBE.

Values from the calculation:
space-group type: Pm-3m, No. 221
ΔE_f (raw): 0.159 eV/atom
total energy: -13.89 eV per formula unit
N(E_F): 0.317 states/eV per atom

Unit cell a=4.908 b=4.908 c=4.908 alpha=90.00 beta=90.00 gamma=90.00
Fractional positions:
Be 0.000 0.000 0.000
Si 0.500 0.500 0.500
Cl 0.000 0.500 0.500
Cl 0.500 0.000 0.500
Cl 0.500 0.500 0.000



This record from Alexandria via LeMat-Bulk describes a relaxed LiVSi3 crystal. The functional is PBE.

Values from the calculation:
space-group type: Pm-3m, No. 221
ΔE_f (raw): 0.919 eV/atom
total energy: -22.70 eV per formula unit
N(E_F): 0.739 states/eV per atom

Unit cell a=4.287 b=4.287 c=4.287 alpha=90.00 beta=90.00 gamma=90.00
Fractional positions:
Li 0.000 0.000 0.000
V 0.500 0.500 0.500
Si 0.000 0.000 0.500
Si 0.000 0.500 0.000
Si 0.500 0.000 0.000



This record from Alexandria via LeMat-Bulk describes a relaxed MgCo2MoC crystal. The functional is PBE.

Values from the calculation:
space-group type: P4/mmm, No. 123
total energy: -35.29 eV per formula unit
N(E_F): 0.741 states/eV per atom
calculated formation energy: 0.115 eV/atom

Unit cell a=3.883 b=3.883 c=4.128 alpha=90.00 beta=90.00 gamma=90.00
Fractional positions:
Mg 0.000 0.000 0.000
Co 0.000 0.500 0.500
Co 0.500 0.000 0.500
Mo 0.500 0.500 0.000
C 0.500 0.500 0.500



This record from Alexandria via LeMat-Bulk describes a relaxed LiFe2Os2 crystal. The functional is PBE.

Values from the calculation:
space-group type: P4/mbm, No. 127
total energy: -40.01 eV per formula unit
N(E_F): 0.908 states/eV per atom
calculated formation energy: 0.258 eV/atom

Unit cell a=7.280 b=7.280 c=2.577 alpha=90.00 beta=90.00 gamma=90.00
Fractional positions:
Li 0.000 0.000 0.000
Li 0.500 0.500 0.000
Fe 0.165 0.335 0.500
Fe 0.335 0.835 0.500
Fe 0.665 0.165 0.500
Fe 0.835 0.665 0.500
Os 0.128 0.628 0.000
Os 0.372 0.128 0.000
Os 0.628 0.872 0.000
Os 0.872 0.372 0.000



This record from Alexandria via LeMat-Bulk describes a relaxed AcEu2Er crystal. The functional is PBE.

Values from the calculation:
space-group type: P4/mmm, No. 123
total energy: -28.83 eV per formula unit
N(E_F): 1.048 states/eV per atom
calculated formation energy: 0.099 eV/atom

Unit cell a=3.798 b=3.798 c=10.796 alpha=90.00 beta=90.00 gamma=90.00
Fractional positions:
Ac 0.000 0.000 0.000
Eu 0.500 0.500 0.266
Eu 0.500 0.500 0.734
Er 0.000 0.000 0.500



This record from Alexandria via LeMat-Bulk describes a relaxed Tl2FeSe crystal. The functional is PBE.

Values from the calculation:
space-group type: I4/mmm, No. 139
ΔE_f (raw): 0.448 eV/atom
total energy: -14.89 eV per formula unit
N(E_F): 1.214 states/eV per atom

Unit cell a=6.144 b=6.144 c=6.144 alpha=139.57 beta=139.57 gamma=58.50
Fractional positions:
Tl 0.250 0.750 0.500
Tl 0.750 0.250 0.500
Fe 0.000 0.000 0.000
Se 0.500 0.500 0.000



This record from Alexandria via LeMat-Bulk describes a relaxed Mg3ZrCu8 crystal. The functional is PBE.

Values from the calculation:
space-group type: P3m1, No. 156
total energy: -47.90 eV per formula unit
N(E_F): 0.459 states/eV per atom
calculated formation energy: -0.150 eV/atom

Unit cell a=5.025 b=5.025 c=8.031 alpha=90.00 beta=90.00 gamma=120.00
Fractional positions:
Mg 0.000 0.000 0.000
Mg 0.000 0.000 0.373
Mg 0.333 0.667 0.888
Zr 0.333 0.667 0.508
Cu 0.004 0.502 0.193
Cu 0.327 0.163 0.691
Cu 0.498 0.502 0.193
Cu 0.498 0.996 0.193
Cu 0.667 0.333 0.442
Cu 0.667 0.333 0.939
Cu 0.837 0.163 0.691
Cu 0.837 0.673 0.691



This record from Alexandria via LeMat-Bulk describes a relaxed BaCaTbEu crystal. The functional is PBE.

Values from the calculation:
space-group type: F-43m, No. 216
total energy: -18.15 eV per formula unit
N(E_F): 1.354 states/eV per atom
calculated formation energy: 0.170 eV/atom

Unit cell a=6.225 b=6.225 c=6.225 alpha=60.00 beta=60.00 gamma=60.00
Fractional positions:
Ba 0.000 0.000 0.000
Ca 0.750 0.750 0.750
Tb 0.500 0.500 0.500
Eu 0.250 0.250 0.250



This record from Alexandria via LeMat-Bulk describes a relaxed Ac4CoTeBr2 crystal. The functional is PBE.

Values from the calculation:
space-group type: P2/m, No. 10
ΔE_f (raw): -1.007 eV/atom
total energy: -38.09 eV per formula unit
N(E_F): 0.641 states/eV per atom

Unit cell a=8.269 b=4.303 c=8.464 alpha=90.00 beta=107.36 gamma=90.00
Fractional positions:
Ac 0.194 0.000 0.196
Ac 0.222 0.500 0.780
Ac 0.778 0.500 0.220
Ac 0.806 0.000 0.804
Co 0.000 0.500 0.000
Te 0.000 0.000 0.500
Br 0.500 0.000 0.000
Br 0.500 0.500 0.500



This record from Alexandria via LeMat-Bulk describes a relaxed LuPaZnPd crystal. The functional is PBE.

Values from the calculation:
space-group type: F-43m, No. 216
total energy: -21.66 eV per formula unit
N(E_F): 1.143 states/eV per atom
calculated formation energy: -0.295 eV/atom

Unit cell a=4.960 b=4.960 c=4.960 alpha=60.00 beta=60.00 gamma=60.00
Fractional positions:
Lu 0.000 0.000 0.000
Pa 0.500 0.500 0.500
Zn 0.250 0.250 0.250
Pd 0.750 0.750 0.750



This record from Alexandria via LeMat-Bulk describes a relaxed LaOsPb2 crystal. The functional is PBE.

Values from the calculation:
space-group type: Amm2, No. 38
total energy: -23.25 eV per formula unit
N(E_F): 0.493 states/eV per atom
calculated formation energy: 0.082 eV/atom

Unit cell a=3.579 b=6.784 c=6.784 alpha=41.41 beta=90.00 gamma=90.00
Fractional positions:
La 0.000 0.000 0.000
Os 0.500 0.469 0.469
Pb 0.000 0.293 0.293
Pb 0.500 0.687 0.687



This record from Alexandria via LeMat-Bulk describes a relaxed BaFeOs4 crystal. The functional is PBE.

Values from the calculation:
space-group type: F-43m, No. 216
total energy: -49.23 eV per formula unit
N(E_F): 1.587 states/eV per atom
calculated formation energy: 1.012 eV/atom

Unit cell a=5.386 b=5.386 c=5.386 alpha=60.00 beta=60.00 gamma=60.00
Fractional positions:
Ba 0.000 0.000 0.000
Fe 0.750 0.750 0.750
Os 0.376 0.376 0.376
Os 0.376 0.376 0.872
Os 0.376 0.872 0.376
Os 0.872 0.376 0.376



This record from Alexandria via LeMat-Bulk describes a relaxed Tb7PrSm12 crystal. The functional is PBE.

Values from the calculation:
space-group type: R-3, No. 148
total energy: -90.59 eV per formula unit
N(E_F): 1.741 states/eV per atom
calculated formation energy: 0.161 eV/atom

Unit cell a=9.402 b=9.402 c=9.402 alpha=107.83 beta=107.83 gamma=107.83
Fractional positions:
Tb 0.000 0.000 0.000
Tb 0.178 0.606 0.490
Tb 0.394 0.510 0.822
Tb 0.490 0.178 0.606
Tb 0.510 0.822 0.394
Tb 0.606 0.490 0.178
Tb 0.822 0.394 0.510
Pr 0.500 0.500 0.500
Sm 0.092 0.202 0.452
Sm 0.124 0.830 0.276
Sm 0.170 0.724 0.876
Sm 0.202 0.452 0.092
Sm 0.276 0.124 0.830
Sm 0.452 0.092 0.202
Sm 0.548 0.908 0.798
Sm 0.724 0.876 0.170
Sm 0.798 0.548 0.908
Sm 0.830 0.276 0.124
Sm 0.876 0.170 0.724
Sm 0.908 0.798 0.548



This record from Alexandria via LeMat-Bulk describes a relaxed La2PrSb crystal. The functional is PBE.

Values from the calculation:
space-group type: P4/mmm, No. 123
ΔE_f (raw): -0.543 eV/atom
total energy: -20.93 eV per formula unit
N(E_F): 1.887 states/eV per atom

Unit cell a=4.274 b=4.274 c=7.271 alpha=90.00 beta=90.00 gamma=90.00
Fractional positions:
La 0.000 0.000 0.213
La 0.000 0.000 0.787
Pr 0.500 0.500 0.500
Sb 0.500 0.500 0.000



This record from Alexandria via LeMat-Bulk describes a relaxed Tb5NdEr7 crystal. The functional is PBE.

Values from the calculation:
space-group type: Imm2, No. 44
total energy: -56.61 eV per formula unit
N(E_F): 1.721 states/eV per atom
calculated formation energy: 0.250 eV/atom

Unit cell a=8.645 b=8.645 c=8.645 alpha=134.62 beta=100.76 gamma=96.37
Fractional positions:
Tb 0.000 0.000 0.000
Tb 0.268 0.229 0.504
Tb 0.268 0.764 0.039
Tb 0.725 0.229 0.961
Tb 0.725 0.764 0.496
Nd 0.698 0.198 0.500
Er 0.001 0.501 0.500
Er 0.080 0.249 0.832
Er 0.305 0.805 0.500
Er 0.417 0.249 0.168
Er 0.496 0.496 0.000
Er 0.578 0.747 0.831
Er 0.916 0.747 0.169